(a)
Entry from Alexandria via LeMat-Bulk: crystalline Ba2HgAs at its relaxed geometry (PBE).

Computed properties:
The density of states at the Fermi level comes out at 2.3 states/eV/f.u. The calculation puts the total magnetic moment at 0.00 μB/cell.

Unit cell a=4.3390 b=5.5988 c=12.0355 alpha=89.98 beta=100.23 gamma=90.00
Atoms (fractional coordinates):
1 Hg 0.6708 0.7503 0.3438
2 Hg 0.3292 0.2497 0.6562
3 Ba 0.9512 0.2500 0.9048
4 Ba 0.1739 0.2502 0.3510
5 Ba 0.8261 0.7497 0.6490
6 Ba 0.0488 0.7500 0.0952
7 As 0.4299 0.7503 0.8589
8 As 0.5701 0.2497 0.1411

=====

(b)
Entry from Alexandria via LeMat-Bulk: crystalline Ba2HgAs at its relaxed geometry (PBE).

Computed properties:
The density of states at the Fermi level comes out at 2.7 states/eV/f.u. The calculation puts the total magnetic moment at 0.00 μB/cell.

Unit cell a=4.8416 b=4.8416 c=8.6881 alpha=73.82 beta=73.82 gamma=60.00
Atoms (fractional coordinates):
1 Hg 0.5022 0.5022 0.4933
2 Ba 0.0695 0.0695 0.7915
3 Ba 0.2638 0.2638 0.2088
4 As 0.6645 0.6645 0.0065

=====

Stability check: which of them is most stable? (b).

=====

(a)
Entry from Alexandria via LeMat-Bulk: crystalline Ba2HgAs at its relaxed geometry (PBE).

Computed properties:
The density of states at the Fermi level comes out at 3.7 states/eV/f.u. The calculation puts the total magnetic moment at 0.00 μB/cell.

Unit cell a=5.7374 b=5.7374 c=5.7374 alpha=60.00 beta=60.00 gamma=60.00
Atoms (fractional coordinates):
1 Ba 0.0000 0.0000 0.0000
2 Ba 0.2500 0.2500 0.2500
3 Hg 0.7500 0.7500 0.7500
4 As 0.5000 0.5000 0.5000

=====

(b)
Entry from Alexandria via LeMat-Bulk: crystalline Ba2HgAs at its relaxed geometry (PBE).

Computed properties:
The density of states at the Fermi level comes out at 3.9 states/eV/f.u. The calculation puts the total magnetic moment at 0.00 μB/cell.

Unit cell a=5.8060 b=5.8060 c=5.8060 alpha=60.00 beta=60.00 gamma=60.00
Atoms (fractional coordinates):
1 As 0.0000 0.0000 0.0000
2 Hg 0.5000 0.5000 0.5000
3 Ba 0.7500 0.7500 0.7500
4 Ba 0.2500 0.2500 0.2500

=====

Stability check: which of them is most stable? (b).